## Cs2NaTlH (PBE)

Data for a relaxed structure of Cs2NaTlH.

Output
Calculated total energy (eV per atom): -1.719
E above lowest polymorph (meV per atom): 0

a = 6.5304 Å, b = 6.5304 Å, c = 4.7401 Å
α = 90.00°, β = 90.00°, γ = 90.00°
Space group P4/mmm (No. 123)
One atom of each set of equivalent atoms:
Cs 0.0000 0.5000 0.0000 [2 per cell]
Na 0.0000 0.0000 0.5000 [1 per cell]
Tl 0.5000 0.5000 0.5000 [1 per cell]
H 0.0000 0.0000 0.0000 [1 per cell]

## Cs2NaZnH5 (PBE)

Data for a relaxed structure of Cs2NaZnH5.

Output
Calculated total energy (eV per atom): -2.253

a = 7.8541 Å, b = 7.8541 Å, c = 6.4110 Å
α = 90.00°, β = 90.00°, γ = 90.00°
Space group P4/mbm (No. 127)
One atom of each set of equivalent atoms:
Cs 0.1712 0.3288 0.0000 [4 per cell]
Na 0.0000 0.0000 0.5000 [2 per cell]
Zn 0.0000 0.5000 0.5000 [2 per cell]
H 0.0000 0.0000 0.0000 [2 per cell]
H 0.1137 0.6137 0.3052 [8 per cell]

## Cs2NaZn2H6 (PBE)

Data for a relaxed structure of Cs2NaZn2H6.

Output
Calculated total energy (eV per atom): -2.465

a = 10.6843 Å, b = 6.1593 Å, c = 7.1467 Å
α = 90.00°, β = 119.80°, γ = 90.00°
Space group C2/m (No. 12)
One atom of each set of equivalent atoms:
Cs 0.2233 0.0000 0.1715 [4 per cell]
Na 0.0000 0.0000 0.5000 [2 per cell]
Zn 0.0720 0.5000 0.2187 [4 per cell]
H 0.0149 0.2723 0.2751 [8 per cell]
H 0.2431 0.5000 0.2781 [4 per cell]

## Cs2NbH (PBE)

Data for a relaxed structure of Cs2NbH.

Output
Calculated total energy (eV per atom): -2.415

a = 8.6568 Å, b = 8.6568 Å, c = 8.6568 Å
α = 90.00°, β = 90.00°, γ = 90.00°
Space group Fm-3m (No. 225)
One atom of each set of equivalent atoms:
Cs 0.2500 0.2500 0.2500 [8 per cell]
Nb 0.0000 0.0000 0.0000 [4 per cell]
H 0.0000 0.0000 0.5000 [4 per cell]

## CsNb3H (PBE)

Data for a relaxed structure of CsNb3H.

Output
Calculated total energy (eV per atom): -5.563
E above lowest polymorph (meV per atom): 0

a = 4.4524 Å, b = 4.4524 Å, c = 4.4524 Å
α = 90.00°, β = 90.00°, γ = 90.00°
Space group Pm-3m (No. 221)
One atom of each set of equivalent atoms:
Cs 0.0000 0.0000 0.0000 [1 per cell]
Nb 0.0000 0.5000 0.5000 [3 per cell]
H 0.5000 0.5000 0.5000 [1 per cell]

## CsNb3H (PBE)

Data for a relaxed structure of CsNb3H.

Output
Calculated total energy (eV per atom): -3.517
E above lowest polymorph (meV per atom): 2046

a = 5.0662 Å, b = 5.0662 Å, c = 5.0662 Å
α = 90.00°, β = 90.00°, γ = 90.00°
Space group Pm-3m (No. 221)
One atom of each set of equivalent atoms:
Cs 0.0000 0.0000 0.0000 [1 per cell]
Nb 0.0000 0.0000 0.5000 [3 per cell]
H 0.5000 0.5000 0.5000 [1 per cell]

## CsNbH2SO (PBE)

Data for a relaxed structure of CsNbH2SO.

Output
Calculated total energy (eV per atom): -5.516
E above lowest polymorph (meV per atom): 0

a = 14.4753 Å, b = 3.5277 Å, c = 3.9983 Å
α = 90.00°, β = 90.07°, γ = 90.00°
Space group Cm (No. 8)
One atom of each set of equivalent atoms:
Cs 0.0000 0.0000 0.0000 [2 per cell]
Nb 0.2795 0.0000 0.4681 [2 per cell]
H 0.3402 0.5000 0.5036 [2 per cell]
H 0.4046 0.0000 0.5078 [2 per cell]
S 0.1577 0.5000 0.5059 [2 per cell]
O 0.2978 0.0000 0.0079 [2 per cell]

## CsNbH2SO (PBE)

Data for a relaxed structure of CsNbH2SO.

Output
Calculated total energy (eV per atom): -5.379
E above lowest polymorph (meV per atom): 137

a = 4.4709 Å, b = 5.9478 Å, c = 6.0623 Å
α = 91.60°, β = 92.71°, γ = 110.99°
Space group P1 (No. 1)
One atom of each set of equivalent atoms:
Cs 0.0000 0.0000 0.0000 [1 per cell]
Nb 0.2626 0.5698 0.4939 [1 per cell]
H 0.2129 0.2580 0.5357 [1 per cell]
H 0.4473 0.7830 0.2877 [1 per cell]
S 0.7428 0.4814 0.3540 [1 per cell]
O 0.3532 0.7259 0.7566 [1 per cell]

## CsNbH2SO (PBE)

Data for a relaxed structure of CsNbH2SO.

Output
Calculated total energy (eV per atom): -5.363
E above lowest polymorph (meV per atom): 153

a = 3.9272 Å, b = 3.9992 Å, c = 7.4202 Å
α = 74.99°, β = 88.25°, γ = 85.30°
Space group P1 (No. 1)
One atom of each set of equivalent atoms:
Cs 0.0000 0.0000 0.0000 [1 per cell]
Nb 0.5524 0.2290 0.4548 [1 per cell]
H 0.9022 0.9624 0.3974 [1 per cell]
H 0.9905 0.3402 0.4846 [1 per cell]
S 0.4856 0.6445 0.6543 [1 per cell]
O 0.4874 0.4103 0.2084 [1 per cell]

## CsNbReTeH (PBE)

Data for a relaxed structure of CsNbReTeH.

Output
Calculated total energy (eV per atom): -5.737
E above lowest polymorph (meV per atom): 221

a = 3.3090 Å, b = 4.3237 Å, c = 8.3693 Å
α = 93.05°, β = 101.19°, γ = 90.02°
Space group P1 (No. 1)
One atom of each set of equivalent atoms:
Cs 0.0000 0.0000 0.0000 [1 per cell]
Nb 0.2195 0.9466 0.4281 [1 per cell]
Re 0.7076 0.4434 0.4040 [1 per cell]
Te 0.3389 0.4651 0.6716 [1 per cell]
H 0.1452 0.5338 0.2761 [1 per cell]

## CsNbReTeH (PBE)

Data for a relaxed structure of CsNbReTeH.

Output
Calculated total energy (eV per atom): -5.843
E above lowest polymorph (meV per atom): 115

a = 4.1441 Å, b = 3.3743 Å, c = 16.6830 Å
α = 90.00°, β = 90.00°, γ = 90.00°
Space group Amm2 (No. 38)
One atom of each set of equivalent atoms:
Cs 0.0000 0.0000 0.0000 [2 per cell]
Nb 0.0000 0.0000 0.7862 [2 per cell]
Re 0.5000 0.0000 0.3107 [2 per cell]
Te 0.5000 0.0000 0.6687 [2 per cell]
H 0.5000 0.0000 0.4133 [2 per cell]

## CsNbReTeH (PBE)

Data for a relaxed structure of CsNbReTeH.

Output
Calculated total energy (eV per atom): -5.846
E above lowest polymorph (meV per atom): 112

a = 7.7110 Å, b = 4.4667 Å, c = 8.1801 Å
α = 90.00°, β = 108.92°, γ = 90.00°
Space group Cm (No. 8)
One atom of each set of equivalent atoms:
Cs 0.0000 0.0000 0.0000 [2 per cell]
Nb 0.4770 0.0000 0.4224 [2 per cell]
Re 0.3192 0.5000 0.4263 [2 per cell]
Te 0.2050 0.0000 0.6263 [2 per cell]
H 0.1134 0.5000 0.2496 [2 per cell]

## CsNbReTeH (PBE)

Data for a relaxed structure of CsNbReTeH.

Output
Calculated total energy (eV per atom): -5.815
E above lowest polymorph (meV per atom): 143

a = 3.3574 Å, b = 3.6167 Å, c = 18.9937 Å
α = 90.00°, β = 90.00°, γ = 90.00°
Space group Amm2 (No. 38)
One atom of each set of equivalent atoms:
Cs 0.0000 0.0000 0.0000 [2 per cell]
Nb 0.5000 0.0000 0.3256 [2 per cell]
Re 0.0000 0.0000 0.7702 [2 per cell]
Te 0.5000 0.0000 0.6571 [2 per cell]
H 0.5000 0.0000 0.4245 [2 per cell]

## CsNbReTeH (PBE)

Data for a relaxed structure of CsNbReTeH.

Output
Calculated total energy (eV per atom): -5.807
E above lowest polymorph (meV per atom): 151

a = 4.1986 Å, b = 3.4626 Å, c = 8.1591 Å
α = 90.00°, β = 91.41°, γ = 90.00°
Space group Pm (No. 6)
One atom of each set of equivalent atoms:
Cs 0.0000 0.0000 0.0000 [1 per cell]
Nb 0.5209 0.0000 0.5928 [1 per cell]
Re 0.0053 0.5000 0.5628 [1 per cell]
Te 0.5100 0.5000 0.3256 [1 per cell]
H 0.2787 0.5000 0.7329 [1 per cell]

## CsNbReTeH (PBE)

Data for a relaxed structure of CsNbReTeH.

Output
Calculated total energy (eV per atom): -5.699
E above lowest polymorph (meV per atom): 259

a = 19.1455 Å, b = 3.4276 Å, c = 3.4011 Å
α = 90.00°, β = 92.05°, γ = 90.00°
Space group Cm (No. 8)
One atom of each set of equivalent atoms:
Cs 0.0000 0.0000 0.0000 [2 per cell]
Nb 0.2820 0.5000 0.0859 [2 per cell]
Re 0.3471 0.0000 0.5385 [2 per cell]
Te 0.1563 0.5000 0.5289 [2 per cell]
H 0.2657 0.0000 0.7211 [2 per cell]

## CsNbReTeH (PBE)

Data for a relaxed structure of CsNbReTeH.

Output
Calculated total energy (eV per atom): -5.958
E above lowest polymorph (meV per atom): 0

a = 3.5079 Å, b = 3.5079 Å, c = 8.8754 Å
α = 90.00°, β = 90.00°, γ = 90.00°
Space group P4mm (No. 99)
One atom of each set of equivalent atoms:
Cs 0.0000 0.0000 0.0000 [1 per cell]
Nb 0.0000 0.0000 0.4672 [1 per cell]
Re 0.5000 0.5000 0.3394 [1 per cell]
Te 0.5000 0.5000 0.6599 [1 per cell]
H 0.5000 0.5000 0.1460 [1 per cell]

## CsNbH2RhS (PBE)

Data for a relaxed structure of CsNbH2RhS.

Output
Calculated total energy (eV per atom): -5.138
E above lowest polymorph (meV per atom): 96

a = 3.6860 Å, b = 4.2219 Å, c = 7.1167 Å
α = 92.31°, β = 90.19°, γ = 90.03°
Space group P1 (No. 1)
One atom of each set of equivalent atoms:
Cs 0.0000 0.0000 0.0000 [1 per cell]
Nb 0.9961 0.4829 0.4768 [1 per cell]
H 0.4958 0.6926 0.3257 [1 per cell]
H 0.9968 0.9886 0.4806 [1 per cell]
Rh 0.4971 0.9908 0.5035 [1 per cell]
S 0.4976 0.4784 0.7048 [1 per cell]

## CsNbH2RhS (PBE)

Data for a relaxed structure of CsNbH2RhS.

Output
Calculated total energy (eV per atom): -5.195
E above lowest polymorph (meV per atom): 39

a = 4.4454 Å, b = 3.1555 Å, c = 8.0224 Å
α = 90.00°, β = 102.28°, γ = 90.00°
Space group Pm (No. 6)
One atom of each set of equivalent atoms:
Cs 0.0000 0.0000 0.0000 [1 per cell]
Nb 0.3046 0.0000 0.5059 [1 per cell]
H 0.1176 0.5000 0.3418 [1 per cell]
H 0.5626 0.0000 0.3220 [1 per cell]
Rh 0.7536 0.5000 0.3953 [1 per cell]
S 0.4017 0.5000 0.7398 [1 per cell]

## CsNbH2RhS (PBE)

Data for a relaxed structure of CsNbH2RhS.

Output
Calculated total energy (eV per atom): -5.169
E above lowest polymorph (meV per atom): 65

a = 3.3745 Å, b = 4.6717 Å, c = 7.3827 Å
α = 82.86°, β = 84.67°, γ = 81.29°
Space group P1 (No. 1)
One atom of each set of equivalent atoms:
Cs 0.0000 0.0000 0.0000 [1 per cell]
Nb 0.8533 0.5321 0.5072 [1 per cell]
H 0.3384 0.3847 0.6619 [1 per cell]
H 0.6356 0.7950 0.7086 [1 per cell]
Rh 0.5219 0.0482 0.5266 [1 per cell]
S 0.4191 0.4367 0.2768 [1 per cell]

## CsNbH2RhS (PBE)

Data for a relaxed structure of CsNbH2RhS.

Output
Calculated total energy (eV per atom): -5.183
E above lowest polymorph (meV per atom): 51

a = 4.1353 Å, b = 3.4283 Å, c = 14.9551 Å
α = 90.00°, β = 90.00°, γ = 90.00°
Space group Amm2 (No. 38)
One atom of each set of equivalent atoms:
Cs 0.0000 0.0000 0.0000 [2 per cell]
Nb 0.5000 0.0000 0.2842 [2 per cell]
H 0.5000 0.0000 0.4077 [2 per cell]
H 0.5000 0.0000 0.8440 [2 per cell]
Rh 0.0000 0.0000 0.7299 [2 per cell]
S 0.5000 0.0000 0.6575 [2 per cell]

## CsNbH2RhS (PBE)

Data for a relaxed structure of CsNbH2RhS.

Output
Calculated total energy (eV per atom): -5.181
E above lowest polymorph (meV per atom): 53

a = 3.2693 Å, b = 4.3956 Å, c = 7.3159 Å
α = 90.00°, β = 90.00°, γ = 90.00°
Space group Pmm2 (No. 25)
One atom of each set of equivalent atoms:
Cs 0.0000 0.0000 0.0000 [1 per cell]
Nb 0.0000 0.5000 0.4425 [1 per cell]
H 0.0000 0.0000 0.4407 [1 per cell]
H 0.5000 0.5000 0.2666 [1 per cell]
Rh 0.5000 0.0000 0.5422 [1 per cell]
S 0.5000 0.5000 0.6975 [1 per cell]

## CsNbH2RhS (PBE)

Data for a relaxed structure of CsNbH2RhS.

Output
Calculated total energy (eV per atom): -5.234
E above lowest polymorph (meV per atom): 0

a = 14.6490 Å, b = 3.6039 Å, c = 4.1604 Å
α = 90.00°, β = 91.26°, γ = 90.00°
Space group Cm (No. 8)
One atom of each set of equivalent atoms:
Cs 0.0000 0.0000 0.0000 [2 per cell]
Nb 0.2751 0.0000 0.4709 [2 per cell]
H 0.2905 0.0000 0.9636 [2 per cell]
H 0.4016 0.0000 0.5059 [2 per cell]
Rh 0.2481 0.5000 0.0247 [2 per cell]
S 0.1566 0.5000 0.5172 [2 per cell]

## CsNbH2RhS (PBE)

Data for a relaxed structure of CsNbH2RhS.

Output
Calculated total energy (eV per atom): -5.216
E above lowest polymorph (meV per atom): 18

a = 3.5053 Å, b = 4.1172 Å, c = 7.6987 Å
α = 89.86°, β = 76.84°, γ = 90.00°
Space group P1 (No. 1)
One atom of each set of equivalent atoms:
Cs 0.0000 0.0000 0.0000 [1 per cell]
Nb 0.2740 0.5261 0.4523 [1 per cell]
H 0.3986 0.5225 0.2035 [1 per cell]
H 0.8248 0.2768 0.3517 [1 per cell]
Rh 0.7412 0.9895 0.5219 [1 per cell]
S 0.6513 0.4992 0.6968 [1 per cell]

## CsNbSbH2 (PBE)

Data for a relaxed structure of CsNbSbH2.

Output
Calculated total energy (eV per atom): -4.489
E above lowest polymorph (meV per atom): 0

a = 3.5513 Å, b = 3.5513 Å, c = 15.5048 Å
α = 90.00°, β = 90.00°, γ = 90.00°
Space group I4mm (No. 107)
One atom of each set of equivalent atoms:
Cs 0.0000 0.0000 0.0000 [2 per cell]
Nb 0.0000 0.0000 0.2829 [2 per cell]
Sb 0.0000 0.0000 0.6883 [2 per cell]
H 0.0000 0.5000 0.3451 [4 per cell]

## CsNbSbH2 (PBE)

Data for a relaxed structure of CsNbSbH2.

Output
Calculated total energy (eV per atom): -4.358
E above lowest polymorph (meV per atom): 130

a = 6.8365 Å, b = 3.2685 Å, c = 10.2685 Å
α = 90.00°, β = 90.00°, γ = 90.00°
Space group Amm2 (No. 38)
One atom of each set of equivalent atoms:
Cs 0.0000 0.0000 0.0000 [2 per cell]
Nb 0.5000 0.0000 0.2874 [2 per cell]
Sb 0.5000 0.0000 0.5636 [2 per cell]
H 0.3404 0.0000 0.8299 [4 per cell]

Number 1: density 4.06 Mg/m³. Number 2: density 3.02 Mg/m³. Number 3: density 3.46 Mg/m³. Number 4: density 3.68 Mg/m³. Number 5: density 7.76 Mg/m³. Number 6: density 5.27 Mg/m³. Number 7: density 4.49 Mg/m³. Number 8: density 3.05 Mg/m³. Number 9: density 4.08 Mg/m³. Number 10: density 7.65 Mg/m³. Number 11: density 7.70 Mg/m³. Number 12: density 6.74 Mg/m³. Number 13: density 7.79 Mg/m³. Number 14: density 7.57 Mg/m³. Number 15: density 8.05 Mg/m³. Number 16: density 8.22 Mg/m³. Number 17: density 5.44 Mg/m³. Number 18: density 5.48 Mg/m³. Number 19: density 5.29 Mg/m³. Number 20: density 5.68 Mg/m³. Number 21: density 5.73 Mg/m³. Number 22: density 5.49 Mg/m³. Number 23: density 5.57 Mg/m³. Number 24: density 5.94 Mg/m³. Number 25: density 5.06 Mg/m³.